1) PBE-GGA Pm2Pr6In, optimized geometry; crystal system = tetragonal; D(E_F) = 27.0 states/eV/cell; space-group type = P4_2/mnm, No. 136
1.0
10.993 0.000 0.000
0.000 10.993 0.000
0.000 0.000 5.086
Pm Pr In
4 12 2
direct
0.161 0.161 0.000 Pm
0.339 0.661 0.500 Pm
0.661 0.339 0.500 Pm
0.839 0.839 0.000 Pm
0.000 0.331 0.500 Pr
0.000 0.669 0.500 Pr
0.160 0.840 0.000 Pr
0.169 0.500 0.000 Pr
0.331 0.000 0.500 Pr
0.340 0.340 0.500 Pr
0.500 0.169 0.000 Pr
0.500 0.831 0.000 Pr
0.660 0.660 0.500 Pr
0.669 0.000 0.500 Pr
0.831 0.500 0.000 Pr
0.840 0.160 0.000 Pr
0.000 0.000 0.500 In
0.500 0.500 0.000 In

2) PBE-GGA Pm2Pr6In, optimized geometry; crystal system = monoclinic; D(E_F) = 23.5 states/eV/cell; space-group type = C2/c, No. 15
1.0
10.653 -4.714 0.000
10.653 4.714 0.000
-1.923 0.000 6.118
Pm Pr In
4 12 2
direct
0.171 0.329 0.068 Pm
0.329 0.171 0.568 Pm
0.671 0.829 0.432 Pm
0.829 0.671 0.932 Pm
0.005 0.149 0.719 Pr
0.083 0.583 0.583 Pr
0.149 0.005 0.219 Pr
0.351 0.495 0.065 Pr
0.417 0.917 0.917 Pr
0.495 0.351 0.565 Pr
0.505 0.649 0.435 Pr
0.583 0.083 0.083 Pr
0.649 0.505 0.935 Pr
0.851 0.995 0.781 Pr
0.917 0.417 0.417 Pr
0.995 0.851 0.281 Pr
0.250 0.750 0.750 In
0.750 0.250 0.250 In

The structure shown above that is least stable: 2).